Here is a relaxed structure of Si2SnOs from Alexandria via LeMat-Bulk. Energies are from PBE-GGA.

POSCAR file:
```
Si2SnOs
1.0
-2.7885 4.7786 1.1656
-4.1794 -3.0083 2.3349
-0.7789 1.1875 6.9816
Sn Os Si
2 2 4
direct
0.2500 0.7500 0.5000
0.5000 0.5000 0.0000
0.0000 0.0000 0.0000
0.7500 0.2500 0.5000
0.8750 0.9349 0.7500
0.3750 0.3151 0.7500
0.6849 0.1250 0.2500
0.0651 0.6250 0.2500
```

**Uncorrected formation energy**: 384 meV per atom
**Space group**: No. 122
**Total DFT energy (no corrections)**: -6.14 eV/atom